Material: NaLiNiF6
Method: DFT, PBE with a Hubbard U
State: optimized geometry

a = 4.809 Å, b = 4.809 Å, c = 9.279 Å
α = 90.00°, β = 90.00°, γ = 90.00°
Positions (direct):
Na: 0.500 0.500 0.171
Na: 0.000 0.000 0.671
Li: 0.500 0.500 0.501
Li: 0.000 0.000 0.001
Ni: 0.500 0.500 0.833
Ni: 0.000 0.000 0.333
F: 0.189 0.811 0.470
F: 0.811 0.189 0.470
F: 0.311 0.311 0.970
F: 0.689 0.689 0.970
F: 0.175 0.825 0.187
F: 0.825 0.175 0.187
F: 0.325 0.325 0.687
F: 0.675 0.675 0.687
F: 0.765 0.235 0.840
F: 0.235 0.765 0.840
F: 0.735 0.735 0.340
F: 0.265 0.265 0.340

Values from the calculation:
Volume = 107 Å³/f.u.
E_tot = -71.30 eV/cell
Crystal system = tetragonal
SG = No. 102